# 1
First-principles (GGA-PBE) data for a relaxed Ba2LiHg crystal, as listed in Alexandria.

Cell and atoms, written as POSCAR:
```
Ba2LiHg
1.0
-2.870 2.870 4.097
2.870 -2.870 4.097
2.870 2.870 -4.097
Ba Li Hg
2 1 1
direct
0.000 0.000 0.000
0.750 0.250 0.500
0.500 0.500 0.000
0.250 0.750 0.500
```

Values from the calculation:
volume	33.73	Å³ per atom
calculated total energy	-1.650	eV per atom
energy of formation	-134.8	meV/atom
mass density	5.93	g/cm³
total moment	0.00	μB per formula unit
SG	I-4m2
N(E_F)	0.88	states/eV/atom

=====

# 2
First-principles (GGA-PBE) data for a relaxed TmThCd4 crystal, as listed in Alexandria.

Cell and atoms, written as POSCAR:
```
TmThCd4
1.0
3.388 0.000 0.000
0.000 5.025 0.000
-0.008 0.000 8.758
Tm Th Cd
1 1 4
direct
0.000 0.000 0.000
0.000 0.500 0.500
0.499 0.000 0.326
0.500 0.500 0.161
0.500 0.500 0.839
0.501 0.000 0.674
```

Values from the calculation:
volume	24.85	Å³ per atom
polymorph energy (0 for the lowest one)	0	meV/atom
calculated total energy	-2.819	eV per atom
energy of formation	-227.3	meV/atom
mass density	9.47	g/cm³
total moment	0.00	μB per formula unit
SG	P2/m
N(E_F)	0.72	states/eV/atom

=====

# 3
First-principles (GGA-PBE) data for a relaxed CaZnCoP crystal, as listed in Alexandria.

Cell and atoms, written as POSCAR:
```
CaZnCoP
1.0
3.684 0.000 0.000
0.000 3.684 0.000
0.000 0.000 10.852
Ca Zn Co P
2 2 2 2
direct
0.250 0.250 0.239
0.750 0.750 0.761
0.250 0.750 0.500
0.750 0.250 0.500
0.250 0.750 0.000
0.750 0.250 0.000
0.250 0.250 0.884
0.750 0.750 0.116
```

Values from the calculation:
volume	18.41	Å³ per atom
calculated total energy	-4.552	eV per atom
energy of formation	-604.5	meV/atom
mass density	4.41	g/cm³
total moment	0.15	μB per formula unit
SG	P4/nmm
N(E_F)	0.60	states/eV/atom

=====

# 4
First-principles (GGA-PBE) data for a relaxed DyYAs2 crystal, as listed in Alexandria.

Cell and atoms, written as POSCAR:
```
DyYAs2
1.0
2.042 1.179 7.011
-2.042 1.179 7.011
0.000 -2.358 7.011
Dy Y As
1 1 2
direct
0.000 0.000 0.000
0.829 0.829 0.829
0.413 0.413 0.413
0.582 0.582 0.582
```

Values from the calculation:
volume	25.31	Å³ per atom
polymorph energy (0 for the lowest one)	155	meV/atom
calculated total energy	-6.486	eV per atom
energy of formation	-1394.6	meV/atom
mass density	6.58	g/cm³
total moment	0.00	μB per formula unit
SG	R3m
N(E_F)	0.10	states/eV/atom

=====

# 5
First-principles (GGA-PBE) data for a relaxed ZnRu2NF crystal, as listed in Alexandria.

Cell and atoms, written as POSCAR:
```
ZnRu2NF
1.0
4.894 0.000 0.000
0.000 4.894 0.000
0.000 0.000 3.504
Zn Ru N F
1 2 1 1
direct
0.000 0.000 0.000
0.000 0.500 0.000
0.500 0.000 0.000
0.000 0.000 0.500
0.500 0.500 0.500
```

Values from the calculation:
volume	16.78	Å³ per atom
E_form (uncorrected)	1550	meV/atom
calculated total energy	-4.455	eV per atom
mass density	5.95	g/cm³
total moment	6.17	μB per formula unit
SG	P4/mmm
N(E_F)	1.11	states/eV/atom

=====

# 6
First-principles (GGA-PBE) data for a relaxed PmHo7Tm3 crystal, as listed in Alexandria.

Cell and atoms, written as POSCAR:
```
PmHo7Tm3
1.0
7.008 0.000 0.000
-3.504 6.069 0.000
0.000 0.000 8.523
Pm Ho Tm
1 7 3
direct
0.000 0.000 0.000
0.003 0.501 0.996
0.331 0.165 0.331
0.333 0.667 0.327
0.499 0.501 0.996
0.499 0.997 0.996
0.835 0.165 0.331
0.835 0.669 0.331
0.167 0.334 0.662
0.167 0.833 0.662
0.666 0.833 0.662
```

Values from the calculation:
volume	32.96	Å³ per atom
polymorph energy (0 for the lowest one)	50	meV/atom
calculated total energy	-4.366	eV per atom
energy of formation	198.9	meV/atom
mass density	8.27	g/cm³
total moment	0.00	μB per formula unit
SG	P3m1
N(E_F)	1.59	states/eV/atom

=====

# 7
First-principles (GGA-PBE) data for a relaxed Ge2H2W crystal, as listed in Alexandria.

Cell and atoms, written as POSCAR:
```
Ge2H2W
1.0
-1.486 1.486 6.465
1.486 -1.486 6.465
1.486 1.486 -6.465
Ge H W
2 2 1
direct
0.137 0.137 0.000
0.863 0.863 0.000
0.250 0.750 0.500
0.750 0.250 0.500
0.500 0.500 0.000
```

Values from the calculation:
volume	11.42	Å³ per atom
calculated total energy	-5.122	eV per atom
mass density	9.63	g/cm³
total moment	0.00	μB per formula unit
SG	I4/mmm
N(E_F)	0.49	states/eV/atom

=====

# 8
First-principles (GGA-PBE) data for a relaxed CdSi2Tc crystal, as listed in Alexandria.

Cell and atoms, written as POSCAR:
```
CdSi2Tc
1.0
4.393 0.000 0.000
0.000 4.393 0.000
0.000 0.000 3.208
Cd Si Tc
1 2 1
direct
0.000 0.000 0.000
0.000 0.500 0.500
0.500 0.000 0.500
0.500 0.500 0.000
```

Values from the calculation:
volume	15.48	Å³ per atom
E_form (uncorrected)	364	meV/atom
calculated total energy	-5.168	eV per atom
mass density	7.15	g/cm³
total moment	0.00	μB per formula unit
SG	P4/mmm
N(E_F)	0.58	states/eV/atom

=====

# 9
First-principles (GGA-PBE) data for a relaxed V8Mo3Os crystal, as listed in Alexandria.

Cell and atoms, written as POSCAR:
```
V8Mo3Os
1.0
4.992 0.000 0.000
-2.496 4.323 0.000
0.000 0.000 8.114
V Mo Os
8 3 1
direct
0.172 0.344 0.248
0.172 0.828 0.248
0.333 0.667 0.948
0.344 0.172 0.752
0.656 0.828 0.248
0.667 0.333 0.052
0.828 0.172 0.752
0.828 0.656 0.752
0.000 0.000 0.500
0.333 0.667 0.560
0.667 0.333 0.440
0.000 0.000 0.000
```

Values from the calculation:
volume	14.59	Å³ per atom
calculated total energy	-9.700	eV per atom
energy of formation	23.0	meV/atom
mass density	8.40	g/cm³
total moment	0.00	μB per formula unit
SG	P-3m1
N(E_F)	1.11	states/eV/atom

=====

# 10
First-principles (GGA-PBE) data for a relaxed Rb3CaTc crystal, as listed in Alexandria.

Cell and atoms, written as POSCAR:
```
Rb3CaTc
1.0
6.361 0.000 0.000
0.000 6.361 0.000
0.000 0.000 6.361
Rb Ca Tc
3 1 1
direct
0.000 0.000 0.500
0.000 0.500 0.000
0.500 0.000 0.000
0.500 0.500 0.500
0.000 0.000 0.000
```

Values from the calculation:
volume	51.47	Å³ per atom
polymorph energy (0 for the lowest one)	0	meV/atom
calculated total energy	-1.676	eV per atom
energy of formation	1377.9	meV/atom
mass density	2.55	g/cm³
total moment	0.00	μB per formula unit
SG	Pm-3m
N(E_F)	1.18	states/eV/atom

=====

# 11
First-principles (GGA-PBE) data for a relaxed K2ZnInP crystal, as listed in Alexandria.

Cell and atoms, written as POSCAR:
```
K2ZnInP
1.0
6.763 0.000 0.000
0.000 6.763 0.000
0.000 0.000 4.973
K Zn In P
2 1 1 1
direct
0.000 0.500 0.000
0.500 0.000 0.000
0.000 0.000 0.500
0.500 0.500 0.000
0.500 0.500 0.500
```

Values from the calculation:
volume	45.50	Å³ per atom
calculated total energy	-2.080	eV per atom
energy of formation	243.9	meV/atom
mass density	2.11	g/cm³
total moment	0.00	μB per formula unit
SG	P4/mmm
N(E_F)	0.57	states/eV/atom

=====

# 12
First-principles (GGA-PBE) data for a relaxed LiV4Rh7 crystal, as listed in Alexandria.

Cell and atoms, written as POSCAR:
```
LiV4Rh7
1.0
5.952 -2.149 0.000
5.952 2.149 0.000
-5.530 0.000 6.986
Li V Rh
1 4 7
direct
0.000 0.000 0.000
0.283 0.283 0.658
0.422 0.422 0.209
0.578 0.578 0.791
0.717 0.717 0.342
0.080 0.080 0.324
0.212 0.212 0.861
0.356 0.356 0.419
0.500 0.500 0.000
0.644 0.644 0.581
0.788 0.788 0.139
0.920 0.920 0.676
```

Values from the calculation:
volume	14.89	Å³ per atom
calculated total energy	-7.585	eV per atom
energy of formation	-97.8	meV/atom
mass density	8.65	g/cm³
total moment	0.00	μB per formula unit
SG	C2/m
N(E_F)	0.80	states/eV/atom